Record 1
{
  "formula": "AcLa2Co",
  "functional": "PBE-GGA",
  "state": "optimized geometry",
  "total_energy_ev_per_cell": -42.7,
  "formation_enthalpy_0k_kj_per_mol_fu": -26.0,
  "cell": [[-0.519, 3.173, -2.137], [-5.635, -3.342, -0.111], [-3.204, 5.122, 8.383]],
  "species": ["Ac", "Ac", "La", "La", "La", "La", "Co", "Co"],
  "frac_coords": [[0.410, 0.818, 0.250], [0.590, 0.182, 0.750], [0.141, 0.282, 0.423], [0.859, 0.718, 0.577], [0.859, 0.718, 0.923], [0.141, 0.282, 0.077], [0.715, 0.430, 0.250], [0.285, 0.570, 0.750]]
}


Record 2
{
  "formula": "La2Zn2Cr",
  "functional": "PBE-GGA",
  "state": "optimized geometry",
  "total_energy_ev_per_cell": -21.0,
  "formation_enthalpy_0k_kj_per_mol_fu": 100.7,
  "cell": [[-1.428, 2.665, 2.091], [-3.075, -0.068, -2.014], [-5.878, -5.159, 5.793]],
  "species": ["Cr", "Zn", "Zn", "La", "La"],
  "frac_coords": [[0.000, 0.000, 0.000], [0.750, 0.250, 0.500], [0.250, 0.750, 0.500], [0.400, 0.400, 0.199], [0.600, 0.600, 0.801]]
}


Record 3
{
  "formula": "Ti2Sb2Au",
  "functional": "PBE-GGA",
  "state": "optimized geometry",
  "total_energy_ev_per_cell": -56.5,
  "cell": [[7.637, 0.000, 0.000], [0.000, 7.637, 0.000], [0.000, 0.000, 3.525]],
  "species": ["Sb", "Sb", "Sb", "Sb", "Au", "Au", "Ti", "Ti", "Ti", "Ti"],
  "frac_coords": [[0.344, 0.844, 0.000], [0.844, 0.656, 0.000], [0.656, 0.156, 0.000], [0.156, 0.344, 0.000], [0.000, 0.000, 0.000], [0.500, 0.500, 0.000], [0.138, 0.638, 0.500], [0.638, 0.862, 0.500], [0.862, 0.362, 0.500], [0.362, 0.138, 0.500]]
}


Record 4
{
  "formula": "BaMn2Ni",
  "functional": "PBE-GGA",
  "state": "optimized geometry",
  "total_energy_ev_per_cell": -22.6,
  "formation_enthalpy_0k_kj_per_mol_fu": 327.9,
  "cell": [[4.985, 0.000, 0.000], [2.493, 4.317, 0.000], [2.493, 1.439, 4.071]],
  "species": ["Ba", "Mn", "Mn", "Ni"],
  "frac_coords": [[0.500, 0.500, 0.500], [0.000, 0.000, 0.000], [0.750, 0.750, 0.750], [0.250, 0.250, 0.250]]
}


Record 5
{
  "formula": "InBr2F",
  "functional": "PBE-GGA",
  "state": "optimized geometry",
  "total_energy_ev_per_cell": -13.5,
  "cell": [[3.749, 0.000, -0.955], [-0.294, 4.130, -1.158], [-0.043, -0.094, 7.689]],
  "species": ["In", "Br", "Br", "F"],
  "frac_coords": [[0.500, 0.009, 0.000], [0.132, 0.141, 0.264], [0.868, 0.876, 0.736], [0.500, 0.509, 0.000]]
}


Record 6
{
  "formula": "TlVCl5",
  "functional": "PBE-GGA",
  "state": "optimized geometry",
  "total_energy_ev_per_cell": -28.2,
  "cell": [[6.789, 0.000, 3.091], [3.076, 5.889, 2.244], [0.948, -0.647, 6.918]],
  "species": ["Tl", "V", "Cl", "Cl", "Cl", "Cl", "Cl"],
  "frac_coords": [[0.000, 0.703, 0.297], [0.500, 0.466, 0.534], [0.774, 0.205, 0.247], [0.500, 0.734, 0.266], [0.226, 0.753, 0.795], [0.754, 0.335, 0.665], [0.246, 0.335, 0.665]]
}


Record 7
{
  "formula": "Ti6IrPt2",
  "functional": "PBE-GGA",
  "state": "optimized geometry",
  "total_energy_ev_per_cell": -72.4,
  "formation_enthalpy_0k_kj_per_mol_fu": -396.0,
  "cell": [[-1.801, -1.575, 3.578], [-0.230, -5.524, -2.547], [6.881, 2.215, 1.850]],
  "species": ["Ti", "Ti", "Ti", "Ti", "Ti", "Ti", "Ir", "Pt", "Pt"],
  "frac_coords": [[0.165, 0.412, 0.329], [0.835, 0.083, 0.671], [0.835, 0.588, 0.671], [0.500, 0.245, 0.000], [0.165, 0.917, 0.329], [0.500, 0.755, 0.000], [0.000, 0.000, 0.000], [0.667, 0.667, 0.334], [0.333, 0.333, 0.666]]
}


Record 8
{
  "formula": "TaTiCu2",
  "functional": "PBE-GGA",
  "state": "optimized geometry",
  "total_energy_ev_per_cell": -27.7,
  "formation_enthalpy_0k_kj_per_mol_fu": 20.4,
  "cell": [[3.889, 0.000, 0.000], [0.000, 3.885, 0.000], [0.000, 0.000, 3.885]],
  "species": ["Ti", "Cu", "Cu", "Ta"],
  "frac_coords": [[0.500, 0.500, 0.500], [0.000, 0.000, 0.500], [0.000, 0.500, 0.000], [0.500, 0.000, 0.000]]
}


| no. | density (Mg/m³) |
| --- | --- |
| 1 | 7.49 |
| 2 | 6.03 |
| 3 | 8.66 |
| 4 | 5.80 |
| 5 | 4.12 |
| 6 | 2.73 |
| 7 | 8.52 |
| 8 | 10.07 |